[1]
The following is a PBEsol calculation of a relaxed YHf2ZrCu crystal, from Alexandria via LeMat-Bulk.

raw total energy: -7.803 eV/atom
DOS(E_F): 7.11 states/eV per cell
E_form: 2.2 eV per formula unit
volume: 23.76 A^3/atom

abc: 4.894 4.894 4.959
angles: 90.00 90.00 90.00
Fractional positions:
Hf 0.500 0.000 0.000
Hf 0.000 0.500 0.000
Cu 0.000 0.000 0.000
Y 0.500 0.500 0.500
Zr 0.000 0.000 0.500


[2]
The following is a PBEsol calculation of a relaxed Mg2IrPt crystal, from Alexandria via LeMat-Bulk.

raw total energy: -5.569 eV/atom
DOS(E_F): 1.52 states/eV per cell
E_form: -2.1 eV per formula unit
volume: 14.94 A^3/atom

abc: 3.107 3.107 6.190
angles: 90.00 90.00 90.00
Fractional positions:
Mg 0.000 0.000 0.744
Mg 0.000 0.000 0.256
Ir 0.500 0.500 0.500
Pt 0.500 0.500 0.000


[3]
The following is a PBEsol calculation of a relaxed Ta3CuAu crystal, from Alexandria via LeMat-Bulk.

raw total energy: -8.012 eV/atom
DOS(E_F): 7.85 states/eV per cell
E_form: 5.9 eV per formula unit
volume: 18.91 A^3/atom

abc: 4.556 4.556 4.556
angles: 90.00 90.00 90.00
Fractional positions:
Ta 0.500 0.000 0.000
Ta 0.000 0.500 0.000
Ta 0.000 0.000 0.500
Cu 0.000 0.000 0.000
Au 0.500 0.500 0.500


[4]
The following is a PBEsol calculation of a relaxed OsPdI2O crystal, from Alexandria via LeMat-Bulk.

raw total energy: -4.562 eV/atom
DOS(E_F): 6.32 states/eV per cell
formation energy (no corrections): 400.4 kJ/mol of formula units
volume: 21.64 A^3/atom

abc: 3.595 5.486 5.486
angles: 90.00 90.00 90.00
Fractional positions:
O 0.000 0.000 0.000
Os 0.500 0.000 0.000
I 0.000 0.500 0.000
I 0.000 0.000 0.500
Pd 0.500 0.500 0.500


[5]
The following is a PBEsol calculation of a relaxed ZnCo2Mo crystal, from Alexandria via LeMat-Bulk.

raw total energy: -7.248 eV/atom
DOS(E_F): 3.24 states/eV per cell
E_form: -0.2 eV per formula unit
volume: 11.90 A^3/atom

abc: 2.670 2.670 6.681
angles: 90.00 90.00 90.00
Fractional positions:
Zn 0.500 0.500 0.500
Co 0.000 0.000 0.743
Co 0.000 0.000 0.257
Mo 0.500 0.500 0.000


[6]
The following is a PBEsol calculation of a relaxed Mn17Fe12 crystal, from Alexandria via LeMat-Bulk.

raw total energy: -9.401 eV/atom
DOS(E_F): 37.30 states/eV per cell
E_form: 0.9 eV per formula unit
volume: 10.37 A^3/atom

abc: 7.309 7.309 7.309
angles: 109.47 109.47 109.47
Fractional positions:
Mn 0.682 0.291 0.682
Mn 0.391 0.391 0.709
Mn 0.609 0.000 0.318
Mn 0.318 0.000 0.609
Mn 0.000 0.609 0.318
Mn 0.000 0.000 0.360
Mn 0.000 0.000 0.000
Mn 0.609 0.318 0.000
Mn 0.709 0.391 0.391
Mn 0.000 0.360 0.000
Mn 0.291 0.682 0.682
Mn 0.000 0.318 0.609
Mn 0.360 0.000 0.000
Mn 0.640 0.640 0.640
Mn 0.318 0.609 0.000
Mn 0.391 0.709 0.391
Mn 0.682 0.682 0.291
Fe 0.807 0.000 0.627
Fe 0.627 0.807 0.000
Fe 0.807 0.627 0.000
Fe 0.373 0.180 0.373
Fe 0.627 0.000 0.807
Fe 0.180 0.373 0.373
Fe 0.000 0.807 0.627
Fe 0.193 0.193 0.820
Fe 0.193 0.820 0.193
Fe 0.820 0.193 0.193
Fe 0.373 0.373 0.180
Fe 0.000 0.627 0.807


[7]
The following is a PBEsol calculation of a relaxed KMnSi crystal, from Alexandria via LeMat-Bulk.

raw total energy: -5.054 eV/atom
DOS(E_F): 1.98 states/eV per cell
formation energy (no corrections): 142.7 kJ/mol of formula units
volume: 26.76 A^3/atom

abc: 4.136 4.136 5.420
angles: 90.00 90.00 120.00
Fractional positions:
Si 0.667 0.333 0.000
Mn 0.333 0.667 0.000
K 0.000 0.000 0.500


[8]
The following is a PBEsol calculation of a relaxed CaZr2SnAu crystal, from Alexandria via LeMat-Bulk.

raw total energy: -4.509 eV/atom
DOS(E_F): 4.18 states/eV per cell
E_form: 5.9 eV per formula unit
volume: 24.85 A^3/atom

abc: 4.883 5.044 5.044
angles: 90.00 90.00 90.00
Fractional positions:
Zr 0.000 0.000 0.500
Zr 0.000 0.500 0.000
Ca 0.000 0.000 0.000
Sn 0.500 0.500 0.500
Au 0.500 0.000 0.000